{"formula": "Hg3TeF4", "functional": "PBE", "state": "relaxed", "raw_formation_energy_kj_per_mol_atoms": -115, "dos_ef_per_ev_atom": 0.000, "space_group": "No. 9", "cell": [[6.171, -3.194, 0.000], [6.171, 3.194, 0.000], [-3.817, 0.000, 9.130]], "species": ["Hg", "Hg", "Hg", "Hg", "Hg", "Hg", "Te", "Te", "F", "F", "F", "F", "F", "F", "F", "F"], "frac_coords": [[0.001, 0.999, 0.500], [0.224, 0.285, 0.893], [0.285, 0.224, 0.393], [0.639, 0.672, 0.695], [0.672, 0.639, 0.195], [0.999, 0.001, 0.000], [0.056, 0.651, 0.768], [0.651, 0.056, 0.268], [0.058, 0.316, 0.090], [0.202, 0.902, 0.230], [0.316, 0.058, 0.590], [0.339, 0.626, 0.577], [0.442, 0.913, 0.919], [0.626, 0.339, 0.077], [0.902, 0.202, 0.730], [0.913, 0.442, 0.419]]}